[1]
The following is a GGA-PBE calculation of a relaxed structure of Na3NpTl2F12, from Alexandria.

Summary:
Raw formation energy, eV per atom: -2.46
Total magnetic moment, μB per atom: 0.19
Crystal system: trigonal
Symmetry: No. 166

Lattice parameters (Å, degrees): 8.6366 8.6366 8.6366 50.64 50.64 50.64
Sites, in units of the cell vectors:
Na 0.0000 0.5000 0.5000
Na 0.5000 0.0000 0.5000
Na 0.5000 0.5000 0.0000
Np 0.5000 0.5000 0.5000
Tl 0.0761 0.0761 0.0761
Tl 0.9239 0.9239 0.9239
F 0.1266 0.1266 0.6233
F 0.1266 0.6233 0.1266
F 0.1889 0.5735 0.5735
F 0.3767 0.8734 0.8734
F 0.4265 0.4265 0.8111
F 0.4265 0.8111 0.4265
F 0.5735 0.1889 0.5735
F 0.5735 0.5735 0.1889
F 0.6233 0.1266 0.1266
F 0.8111 0.4265 0.4265
F 0.8734 0.3767 0.8734
F 0.8734 0.8734 0.3767

=====

[2]
The following is a GGA-PBE calculation of a relaxed structure of HfBO2F, from Alexandria.

Summary:
Raw formation energy, eV per atom: -1.02
Total magnetic moment, μB per atom: 0.00
Crystal system: tetragonal
Symmetry: No. 123

Lattice parameters (Å, degrees): 3.3892 3.3892 3.9185 90.00 90.00 90.00
Sites, in units of the cell vectors:
Hf 0.0000 0.0000 0.0000
B 0.5000 0.5000 0.5000
O 0.0000 0.5000 0.5000
O 0.5000 0.0000 0.5000
F 0.5000 0.5000 0.0000